Record 1
Density functional theory data (GGA-PBE) for a relaxed ZrSc2Bi2 crystal.

Geometry as extended XYZ:
```
10
Lattice="-6.8565 3.3925 2.0315 -2.5516 -0.6893 -7.4607 -1.5239 -3.5906 0.8529" Properties=species:S:1:pos:R:3 pbc="T T T"
Bi -4.5841 0.6059 -5.6395
Sc -7.4375 0.8340 -0.4317
Sc -3.5236 -0.7311 -0.0276
Bi -4.8240 2.0973 0.2103
Sc -7.4084 -0.1563 -4.5487
Bi -1.9145 0.2609 -2.3221
Zr -4.7041 1.3516 -2.7146
Bi -7.4937 2.4423 -3.1071
Sc -3.4946 -1.7214 -4.1446
Zr 0.0000 0.0000 0.0000
```

Summary:
Raw total energy ... -31.172 eV/f.u.
E above lowest polymorph ... 0 meV per atom
Formation energy from the elements ... -0.4397 eV/atom



Record 2
Density functional theory data (GGA-PBE) for a relaxed Zr4ScBi2 crystal.

Geometry as extended XYZ:
```
7
Lattice="4.7859 0.0000 0.0000 0.0000 4.7859 0.0000 2.3930 2.3930 8.0022" Properties=species:S:1:pos:R:3 pbc="T T T"
Bi 2.3930 2.3930 2.2045
Zr 0.0000 2.3930 0.0000
Zr 2.3930 0.0000 0.0000
Zr 2.3930 2.3930 5.1372
Zr 4.7859 4.7859 2.8650
Sc 0.0000 0.0000 0.0000
Bi 4.7859 4.7859 5.7977
```

Summary:
Raw total energy ... -44.407 eV/f.u.
Formation energy from the elements ... 0.5542 eV/atom



Record 3
Density functional theory data (GGA-PBE) for a relaxed Zr5ScBi6 crystal.

Geometry as extended XYZ:
```
12
Lattice="-5.0421 5.2405 1.0725 -5.4404 -2.6370 4.1878 0.3839 0.5961 7.3321" Properties=species:S:1:pos:R:3 pbc="T T T"
Zr -6.8968 0.6399 6.5207
Zr -1.6868 -0.6812 3.8377
Bi -4.3257 -0.0628 5.1414
Zr -3.3696 -1.3598 7.6822
Bi -5.7729 3.2624 7.4509
Sc 0.0000 0.0000 0.0000
Bi -7.8843 1.9360 3.9646
Zr -3.2018 2.5597 6.0717
Bi -4.1173 3.9243 3.5606
Bi -5.9813 -0.7247 9.0318
Zr -5.2412 1.3017 2.6302
Bi -2.5982 0.6675 1.2957
```

Summary:
Raw total energy ... -75.321 eV/f.u.
Formation energy from the elements ... -0.2469 eV/atom



Record 4
Density functional theory data (GGA-PBE) for a relaxed Zr2Sc3Bi3 crystal.

Geometry as extended XYZ:
```
16
Lattice="5.9618 0.0000 0.0000 0.0000 7.5482 -4.3580 0.0000 0.0000 8.7159" Properties=species:S:1:pos:R:3 pbc="T T T"
Bi 1.4904 2.8900 -1.6686
Sc 1.4904 5.6360 -3.2540
Bi 4.4713 4.6582 -2.6894
Zr 0.0000 5.0321 0.0000
Sc 4.4713 0.0000 2.2080
Zr 2.9809 5.0321 0.0000
Bi 1.4904 4.6582 2.6894
Bi 4.4713 0.0000 5.3788
Zr 2.9809 2.5161 4.3580
Sc 1.4904 0.0000 6.5079
Bi 1.4904 0.0000 3.3371
Zr 0.0000 2.5161 4.3580
Bi 4.4713 2.8900 1.6686
Sc 4.4713 5.6360 3.2540
Sc 4.4713 1.9122 -1.1040
Sc 1.4904 1.9122 1.1040
```

Summary:
Raw total energy ... -51.847 eV/f.u.
Formation energy from the elements ... -0.5142 eV/atom